This record from Alexandria describes BaVSbO6 after structural relaxation. The functional is PBE with a Hubbard U.

Calculated values
D(E_F) in states/eV/cell: 0.000
Spin magnetization in μB per formula unit: 0.0
E_tot in Ha/atom: -0.2506

Cell: 5.2759 5.2759 11.5555 Å, 90.00 90.00 120.00°
Space group P-31c (No. 163)
One atom of each set of equivalent atoms:
Ba 0.0000 0.0000 0.0000 [2 per cell]
V 0.3333 0.6667 0.2500 [2 per cell]
Sb 0.3333 0.6667 0.7500 [2 per cell]
O 0.0136 0.4020 0.1540 [12 per cell]